# GaBiPSe

Crystalline GaBiPSe at its relaxed geometry (GGA-PBE, the Alexandria database).

```
data_GaBiPSe
_space_group_name_H-M_alt 'C 1 m 1'
_space_group_IT_number 8
_cell_length_a 6.5621
_cell_length_b 4.8062
_cell_length_c 6.6347
_cell_angle_alpha 90.00
_cell_angle_beta 95.94
_cell_angle_gamma 90.00
loop_
_space_group_symop_operation_xyz
'x,y,z'
'x,-y,z'
'x+1/2,y+1/2,z'
'x+1/2,-y+1/2,z'
loop_
_atom_site_label
_atom_site_type_symbol
_atom_site_fract_x
_atom_site_fract_y
_atom_site_fract_z
_atom_site_occupancy
Ga1 Ga 0.0000 0.0000 0.0000 1
Bi1 Bi 0.2198 0.5000 0.5384 1
P1 P 0.0712 0.0000 0.3626 1
Se1 Se 0.3695 0.0000 0.8938 1
```

Summary:
Its size of the total moment is 0.00 μB/f.u. The calculation puts the density of states at the Fermi level at 0.5 states/eV per cell. The calculation puts the volume at 208.1 Å³/cell. The energy above the most stable polymorph in this dataset comes out at 115.7 meV per atom. As for the total energy: -0.300 Ry/atom.

***

# Ba2LiIn4Pt3

Crystalline Ba2LiIn4Pt3 at its relaxed geometry (GGA-PBE, the Alexandria database).

```
data_Ba2LiIn4Pt3
_space_group_name_H-M_alt 'P -4 m 2'
_space_group_IT_number 115
_cell_length_a 4.8367
_cell_length_b 4.8367
_cell_length_c 10.8273
_cell_angle_alpha 90.00
_cell_angle_beta 90.00
_cell_angle_gamma 90.00
loop_
_space_group_symop_operation_xyz
'x,y,z'
'y,-x,-z'
'-x,-y,z'
'-y,x,-z'
'-x,y,z'
'-y,-x,-z'
'x,-y,z'
'y,x,-z'
loop_
_atom_site_label
_atom_site_type_symbol
_atom_site_fract_x
_atom_site_fract_y
_atom_site_fract_z
_atom_site_occupancy
Ba1 Ba 0.0000 0.5000 0.2446 1
Li1 Li 0.5000 0.5000 0.0000 1
In1 In 0.0000 0.0000 0.5000 1
In2 In 0.0000 0.5000 0.8805 1
In3 In 0.5000 0.5000 0.5000 1
Pt1 Pt 0.0000 0.0000 0.0000 1
Pt2 Pt 0.0000 0.5000 0.6285 1
```

Summary:
Its size of the total moment is 0.00 μB/f.u. The calculation puts the density of states at the Fermi level at 6.4 states/eV per cell. The calculation puts the volume at 253.3 Å³/cell. The formation energy is -607 meV/atom. As for the total energy: -0.301 Ry/atom.

***

# CaSiNi2

Crystalline CaSiNi2 at its relaxed geometry (GGA-PBE, the Alexandria database).

```
data_CaSiNi2
_space_group_name_H-M_alt 'P 4/m m m'
_space_group_IT_number 123
_space_group_name_Hall '-P 4 2'
_cell_length_a 2.9188
_cell_length_b 2.9188
_cell_length_c 6.9365
_cell_angle_alpha 90.00
_cell_angle_beta 90.00
_cell_angle_gamma 90.00
loop_
_atom_site_label
_atom_site_type_symbol
_atom_site_fract_x
_atom_site_fract_y
_atom_site_fract_z
_atom_site_occupancy
Ca1 Ca 0.0000 0.0000 0.0000 1
Si1 Si 0.0000 0.0000 0.5000 1
Ni1 Ni 0.5000 0.5000 0.3191 1
```

Summary:
Its size of the total moment is 0.00 μB/f.u. The calculation puts the density of states at the Fermi level at 2.8 states/eV per cell. The calculation puts the volume at 59.1 Å³/cell. As for the total energy: -0.365 Ry/atom.

***

# In2WBr

Crystalline In2WBr at its relaxed geometry (GGA-PBE, the Alexandria database).

```
data_In2WBr
_space_group_name_H-M_alt 'P m m m'
_space_group_IT_number 47
_cell_length_a 3.0825
_cell_length_b 5.3100
_cell_length_c 5.3626
_cell_angle_alpha 90.00
_cell_angle_beta 90.00
_cell_angle_gamma 90.00
loop_
_space_group_symop_operation_xyz
'x,y,z'
'-x,-y,-z'
'-x,-y,z'
'x,y,-z'
'x,-y,-z'
'-x,y,z'
'-x,y,-z'
'x,-y,z'
loop_
_atom_site_label
_atom_site_type_symbol
_atom_site_fract_x
_atom_site_fract_y
_atom_site_fract_z
_atom_site_occupancy
In1 In 0.0000 0.0000 0.0000 1
In2 In 0.5000 0.5000 0.0000 1
W1 W 0.0000 0.5000 0.5000 1
Br1 Br 0.5000 0.0000 0.5000 1
```

Summary:
Its size of the total moment is 1.22 μB/f.u. The calculation puts the density of states at the Fermi level at 2.6 states/eV per cell. The calculation puts the volume at 87.8 Å³/cell. The energy above the most stable polymorph in this dataset comes out at 505.4 meV per atom. As for the total energy: -0.306 Ry/atom.

***

# GaBiPSe

Crystalline GaBiPSe at its relaxed geometry (GGA-PBE, the Alexandria database).

```
data_GaBiPSe
_space_group_name_H-M_alt 'P 1'
_space_group_IT_number 1
_cell_length_a 4.7963
_cell_length_b 4.9900
_cell_length_c 5.3263
_cell_angle_alpha 107.60
_cell_angle_beta 102.66
_cell_angle_gamma 112.49
loop_
_space_group_symop_operation_xyz
'x,y,z'
loop_
_atom_site_label
_atom_site_type_symbol
_atom_site_fract_x
_atom_site_fract_y
_atom_site_fract_z
_atom_site_occupancy
Ga1 Ga 0.0000 0.0000 0.0000 1
Bi1 Bi 0.3585 0.4315 0.7769 1
P1 P 0.4389 0.0283 0.3709 1
Se1 Se 0.8199 0.4001 0.2769 1
```

Summary:
Its size of the total moment is 0.00 μB/f.u. The calculation puts the density of states at the Fermi level at 1.3 states/eV per cell. The calculation puts the volume at 103.8 Å³/cell. The energy above the most stable polymorph in this dataset comes out at 260.0 meV per atom. As for the total energy: -0.289 Ry/atom.

***

# MnMoS

Crystalline MnMoS at its relaxed geometry (GGA-PBE, the Alexandria database).

```
data_MnMoS
_space_group_name_H-M_alt 'P 1 21/m 1'
_space_group_IT_number 11
_cell_length_a 4.7055
_cell_length_b 2.9765
_cell_length_c 6.1877
_cell_angle_alpha 90.00
_cell_angle_beta 106.01
_cell_angle_gamma 90.00
loop_
_space_group_symop_operation_xyz
'x,y,z'
'-x,-y,-z'
'-x,y+1/2,-z'
'x,-y+1/2,z'
loop_
_atom_site_label
_atom_site_type_symbol
_atom_site_fract_x
_atom_site_fract_y
_atom_site_fract_z
_atom_site_occupancy
Mn1 Mn 0.1396 0.2500 0.1818 1
Mo1 Mo 0.2938 0.7500 0.5544 1
S1 S 0.2122 0.2500 0.8473 1
```

Summary:
Its size of the total moment is 0.00 μB/f.u. The calculation puts the density of states at the Fermi level at 3.8 states/eV per cell. The calculation puts the volume at 83.3 Å³/cell. The energy above the most stable polymorph in this dataset comes out at 34.7 meV per atom. As for the total energy: -0.604 Ry/atom.

***

# NaAc2Sb4Ir3

Crystalline NaAc2Sb4Ir3 at its relaxed geometry (GGA-PBE, the Alexandria database).

```
data_NaAc2Sb4Ir3
_space_group_name_H-M_alt 'P -4 m 2'
_space_group_IT_number 115
_cell_length_a 4.7348
_cell_length_b 4.7348
_cell_length_c 10.7457
_cell_angle_alpha 90.00
_cell_angle_beta 90.00
_cell_angle_gamma 90.00
loop_
_space_group_symop_operation_xyz
'x,y,z'
'y,-x,-z'
'-x,-y,z'
'-y,x,-z'
'-x,y,z'
'-y,-x,-z'
'x,-y,z'
'y,x,-z'
loop_
_atom_site_label
_atom_site_type_symbol
_atom_site_fract_x
_atom_site_fract_y
_atom_site_fract_z
_atom_site_occupancy
Na1 Na 0.0000 0.0000 0.0000 1
Ac1 Ac 0.0000 0.5000 0.7481 1
Sb1 Sb 0.0000 0.0000 0.5000 1
Sb2 Sb 0.0000 0.5000 0.1397 1
Sb3 Sb 0.5000 0.5000 0.5000 1
Ir1 Ir 0.0000 0.5000 0.3871 1
Ir2 Ir 0.5000 0.5000 0.0000 1
```

Summary:
Its size of the total moment is 0.00 μB/f.u. The calculation puts the density of states at the Fermi level at 5.4 states/eV per cell. The calculation puts the volume at 240.9 Å³/cell. As for the total energy: -0.430 Ry/atom.

***

# RbPb4Au

Crystalline RbPb4Au at its relaxed geometry (GGA-PBE, the Alexandria database).

```
data_RbPb4Au
_space_group_name_H-M_alt 'P m m a'
_space_group_IT_number 51
_cell_length_a 9.7863
_cell_length_b 4.6283
_cell_length_c 8.9858
_cell_angle_alpha 90.00
_cell_angle_beta 90.00
_cell_angle_gamma 90.00
loop_
_space_group_symop_operation_xyz
'x,y,z'
'-x,-y,-z'
'-x+1/2,-y,z'
'x+1/2,y,-z'
'x+1/2,-y,-z'
'-x+1/2,y,z'
'-x,y,-z'
'x,-y,z'
loop_
_atom_site_label
_atom_site_type_symbol
_atom_site_fract_x
_atom_site_fract_y
_atom_site_fract_z
_atom_site_occupancy
Rb1 Rb 0.2500 0.0000 0.1193 1
Pb1 Pb 0.0000 0.0000 0.5000 1
Pb2 Pb 0.0728 0.5000 0.7940 1
Pb3 Pb 0.2500 0.5000 0.4670 1
Au1 Au 0.2500 0.0000 0.7270 1
```

Summary:
Its size of the total moment is 0.00 μB/f.u. The calculation puts the density of states at the Fermi level at 6.6 states/eV per cell. The calculation puts the volume at 407.0 Å³/cell. The energy above the most stable polymorph in this dataset comes out at 0.0 meV per atom. The formation energy is -112 meV/atom. As for the total energy: -0.242 Ry/atom.

***

# Zn2RuBr

Crystalline Zn2RuBr at its relaxed geometry (GGA-PBE, the Alexandria database).

```
data_Zn2RuBr
_space_group_name_H-M_alt 'I m m 2'
_space_group_IT_number 44
_cell_length_a 2.9994
_cell_length_b 4.2158
_cell_length_c 12.4950
_cell_angle_alpha 90.00
_cell_angle_beta 90.00
_cell_angle_gamma 90.00
loop_
_space_group_symop_operation_xyz
'x,y,z'
'-x,-y,z'
'-x,y,z'
'x,-y,z'
'x+1/2,y+1/2,z+1/2'
'-x+1/2,-y+1/2,z+1/2'
'-x+1/2,y+1/2,z+1/2'
'x+1/2,-y+1/2,z+1/2'
loop_
_atom_site_label
_atom_site_type_symbol
_atom_site_fract_x
_atom_site_fract_y
_atom_site_fract_z
_atom_site_occupancy
Zn1 Zn 0.0000 0.0000 0.0000 1
Zn2 Zn 0.0000 0.5000 0.1372 1
Ru1 Ru 0.0000 0.0000 0.4711 1
Br1 Br 0.0000 0.5000 0.8027 1
```

Summary:
Its size of the total moment is 0.00 μB/f.u. The calculation puts the density of states at the Fermi level at 5.0 states/eV per cell. The calculation puts the volume at 158.0 Å³/cell. The energy above the most stable polymorph in this dataset comes out at 14.2 meV per atom. As for the total energy: -0.238 Ry/atom.

***

# Rb2Cd3In4Ag

Crystalline Rb2Cd3In4Ag at its relaxed geometry (GGA-PBE, the Alexandria database).

```
data_Rb2Cd3In4Ag
_space_group_name_H-M_alt 'P -4 m 2'
_space_group_IT_number 115
_cell_length_a 5.0909
_cell_length_b 5.0909
_cell_length_c 11.9984
_cell_angle_alpha 90.00
_cell_angle_beta 90.00
_cell_angle_gamma 90.00
loop_
_space_group_symop_operation_xyz
'x,y,z'
'y,-x,-z'
'-x,-y,z'
'-y,x,-z'
'-x,y,z'
'-y,-x,-z'
'x,-y,z'
'y,x,-z'
loop_
_atom_site_label
_atom_site_type_symbol
_atom_site_fract_x
_atom_site_fract_y
_atom_site_fract_z
_atom_site_occupancy
Rb1 Rb 0.0000 0.5000 0.2446 1
Cd1 Cd 0.0000 0.0000 0.0000 1
Cd2 Cd 0.0000 0.5000 0.6360 1
In1 In 0.0000 0.0000 0.5000 1
In2 In 0.0000 0.5000 0.8844 1
In3 In 0.5000 0.5000 0.5000 1
Ag1 Ag 0.5000 0.5000 0.0000 1
```

Summary:
Its size of the total moment is 0.00 μB/f.u. The calculation puts the density of states at the Fermi level at 4.4 states/eV per cell. The calculation puts the volume at 311.0 Å³/cell. The formation energy is -52 meV/atom. As for the total energy: -0.140 Ry/atom.

***

# NaAg2H8Pd3

Crystalline NaAg2H8Pd3 at its relaxed geometry (GGA-PBE, the Alexandria database).

```
data_NaAg2H8Pd3
_space_group_name_H-M_alt 'R 3 m'
_space_group_IT_number 160
_space_group_name_Hall 'R 3 -2"'
_cell_length_a 5.8350
_cell_length_b 5.8350
_cell_length_c 14.3626
_cell_angle_alpha 90.00
_cell_angle_beta 90.00
_cell_angle_gamma 120.00
loop_
_atom_site_label
_atom_site_type_symbol
_atom_site_fract_x
_atom_site_fract_y
_atom_site_fract_z
_atom_site_occupancy
Na1 Na 0.0000 0.0000 0.0000 1
Ag1 Ag 0.0000 0.0000 0.2566 1
Ag2 Ag 0.0000 0.0000 0.6258 1
H1 H 0.0000 0.0000 0.3922 1
H2 H 0.0000 0.0000 0.8490 1
H3 H 0.0513 0.5256 0.4005 1
H4 H 0.1789 0.3579 0.1898 1
Pd1 Pd 0.0007 0.5003 0.1270 1
```

Summary:
Its size of the total moment is 0.00 μB/f.u. The calculation puts the density of states at the Fermi level at 11.9 states/eV per cell. The calculation puts the volume at 423.5 Å³/cell. As for the total energy: -0.259 Ry/atom.

***

# AsIrRh2

Crystalline AsIrRh2 at its relaxed geometry (GGA-PBE, the Alexandria database).

```
data_AsIrRh2
_space_group_name_H-M_alt 'I -4 m 2'
_space_group_IT_number 119
_space_group_name_Hall 'I -4 -2'
_cell_length_a 3.9863
_cell_length_b 3.9863
_cell_length_c 7.3693
_cell_angle_alpha 90.00
_cell_angle_beta 90.00
_cell_angle_gamma 90.00
loop_
_atom_site_label
_atom_site_type_symbol
_atom_site_fract_x
_atom_site_fract_y
_atom_site_fract_z
_atom_site_occupancy
As1 As 0.0000 0.0000 0.0000 1
Ir1 Ir 0.0000 0.5000 0.7500 1
Rh1 Rh 0.0000 0.0000 0.5000 1
Rh2 Rh 0.0000 0.5000 0.2500 1
```

Summary:
Its size of the total moment is 0.00 μB/f.u. The calculation puts the density of states at the Fermi level at 11.0 states/eV per cell. The calculation puts the volume at 117.1 Å³/cell. The formation energy is 65 meV/atom. As for the total energy: -0.514 Ry/atom.

***

# Fe2ReRu

Crystalline Fe2ReRu at its relaxed geometry (GGA-PBE, the Alexandria database).

```
data_Fe2ReRu
_space_group_name_H-M_alt 'C 1 2/m 1'
_space_group_IT_number 12
_cell_length_a 8.6286
_cell_length_b 2.6635
_cell_length_c 4.6134
_cell_angle_alpha 90.00
_cell_angle_beta 100.33
_cell_angle_gamma 90.00
loop_
_space_group_symop_operation_xyz
'x,y,z'
'-x,-y,-z'
'-x,y,-z'
'x,-y,z'
'x+1/2,y+1/2,z'
'-x+1/2,-y+1/2,-z'
'-x+1/2,y+1/2,-z'
'x+1/2,-y+1/2,z'
loop_
_atom_site_label
_atom_site_type_symbol
_atom_site_fract_x
_atom_site_fract_y
_atom_site_fract_z
_atom_site_occupancy
Fe1 Fe 0.2484 0.0000 0.2500 1
Re1 Re 0.0000 0.0000 0.5000 1
Ru1 Ru 0.0000 0.5000 0.0000 1
```

Summary:
Its size of the total moment is 3.44 μB/f.u. The calculation puts the density of states at the Fermi level at 8.3 states/eV per cell. The calculation puts the volume at 104.3 Å³/cell. The formation energy is 149 meV/atom. As for the total energy: -0.699 Ry/atom.